No. 1
CsHoMn2Cl8 (GGA-PBE, optimized geometry); total energy = -4.822 eV per atom; raw formation energy = -1610 meV/atom; N(E_F) = 0.00 states/eV per atom
1.0
3.2395 1.8703 10.8637
-3.2395 1.8703 10.8637
0.0000 -3.7406 10.8637
Cs Ho Mn Cl
1 1 2 8
Direct
0.0000 0.0000 0.0000
0.5000 0.5000 0.5000
0.2428 0.2428 0.2428
0.7572 0.7572 0.7572
0.1362 0.4400 0.7669
0.2331 0.5600 0.8638
0.3126 0.3126 0.3126
0.4400 0.7669 0.1362
0.5600 0.8638 0.2331
0.6874 0.6874 0.6874
0.7669 0.1362 0.4400
0.8638 0.2331 0.5600



No. 2
CsNa2HoCl6 (GGA-PBE, optimized geometry); total energy = -3.962 eV per atom; raw formation energy = -2047 meV/atom; N(E_F) = 0.00 states/eV per atom
1.0
3.6449 2.1044 6.7122
-3.6449 2.1044 6.7122
0.0000 -4.2087 6.7122
Cs Na Ho Cl
1 2 1 6
Direct
0.0000 0.0000 0.0000
0.2703 0.2703 0.2703
0.7903 0.7903 0.7903
0.4654 0.4654 0.4654
0.0678 0.5902 0.4774
0.2220 0.5278 0.8478
0.4774 0.0678 0.5902
0.5278 0.8478 0.2220
0.5902 0.4774 0.0678
0.8478 0.2220 0.5278